[1]
## CaAc2Pm4 (PBE-GGA)

Data for CaAc2Pm4 after structural relaxation.

The magnetization is 0.00 μB per cell. The calculation puts the density of states at the Fermi level at 1.581 states/eV per atom. Its formation enthalpy at 0 K is 49 meV/atom.

It has space group C2/m (No. 12), with a = 11.808 Å, b = 5.353 Å, c = 8.563 Å, α = 90.00°, β = 98.54° and γ = 90.00°. The distinct sites, in fractional coordinates, are Ca at (0.000, 0.000, 0.000), Ac at (0.215, 0.500, 0.154), Pm at (0.075, 0.500, 0.696) and Pm at (0.142, 0.000, 0.433).

=====

[2]
## Ca3Ac8Pm2 (PBE-GGA)

Data for Ca3Ac8Pm2 after structural relaxation.

The magnetization is 0.00 μB per cell. The calculation puts the density of states at the Fermi level at 1.473 states/eV per atom. Its formation enthalpy at 0 K is 83 meV/atom.

It has space group C2/m (No. 12), with a = 22.862 Å, b = 12.710 Å, c = 3.947 Å, α = 90.00°, β = 99.81° and γ = 90.00°. The distinct sites, in fractional coordinates, are Ca at (0.000, 0.000, 0.000), Ca at (0.000, 0.258, 0.500), Ac at (0.079, 0.500, 0.077), Ac at (0.137, 0.000, 0.639), Ac at (0.175, 0.254, 0.176) and Pm at (0.222, 0.500, 0.721).

=====

[3]
## Ca2Ac2Pm (PBE-GGA)

Data for Ca2Ac2Pm after structural relaxation.

The magnetization is 0.00 μB per cell. The calculation puts the density of states at the Fermi level at 1.667 states/eV per atom. Its formation enthalpy at 0 K is 348 meV/atom.

It has space group I4/mmm (No. 139), with a = 4.735 Å, b = 4.735 Å, c = 19.548 Å, α = 90.00°, β = 90.00° and γ = 90.00°. The distinct sites, in fractional coordinates, are Ca at (0.000, 0.500, 0.250), Ac at (0.000, 0.000, 0.092) and Pm at (0.000, 0.000, 0.500).

=====

What did the first record say?
## CaAc2Pm4 (PBE-GGA)

Data for CaAc2Pm4 after structural relaxation.

The magnetization is 0.00 μB per cell. The calculation puts the density of states at the Fermi level at 1.581 states/eV per atom. Its formation enthalpy at 0 K is 49 meV/atom.

It has space group C2/m (No. 12), with a = 11.808 Å, b = 5.353 Å, c = 8.563 Å, α = 90.00°, β = 98.54° and γ = 90.00°. The distinct sites, in fractional coordinates, are Ca at (0.000, 0.000, 0.000), Ac at (0.215, 0.500, 0.154), Pm at (0.075, 0.500, 0.696) and Pm at (0.142, 0.000, 0.433).